Entry 1:
LaV3Ag PBE relaxed; relative energy among the computed polymorphs = 0.0 meV/atom; M_tot = 9.34 μB/cell; DFT total energy = -5.804 eV per atom
1.0
4.983 0.000 0.000
0.000 4.983 0.000
0.000 0.000 4.983
La V Ag
1 3 1
direct
0.000 0.000 0.000
0.000 0.500 0.500
0.500 0.000 0.500
0.500 0.500 0.000
0.500 0.500 0.500

=====

Entry 2:
LaAgW2 PBE relaxed; relative energy among the computed polymorphs = 810.8 meV/atom; M_tot = 0.00 μB/cell; DFT total energy = -7.219 eV per atom
1.0
6.720 0.000 0.000
0.000 6.720 0.000
0.000 0.000 6.720
La Ag W
4 4 8
direct
0.000 0.000 0.000
0.000 0.500 0.500
0.500 0.000 0.500
0.500 0.500 0.000
0.000 0.000 0.500
0.000 0.500 0.000
0.500 0.000 0.000
0.500 0.500 0.500
0.250 0.250 0.250
0.250 0.250 0.750
0.250 0.750 0.250
0.250 0.750 0.750
0.750 0.250 0.250
0.750 0.250 0.750
0.750 0.750 0.250
0.750 0.750 0.750

=====

Entry 3:
La2AgW PBE relaxed; relative energy among the computed polymorphs = 241.5 meV/atom; M_tot = 0.00 μB/cell; DFT total energy = -5.862 eV per atom
1.0
3.563 0.000 0.000
-1.781 3.086 0.000
0.000 0.000 28.870
La Ag W
6 3 3
direct
0.000 0.000 0.242
0.000 0.000 0.758
0.333 0.667 0.424
0.333 0.667 0.909
0.667 0.333 0.091
0.667 0.333 0.576
0.000 0.000 0.000
0.333 0.667 0.667
0.667 0.333 0.333
0.000 0.000 0.500
0.333 0.667 0.167
0.667 0.333 0.833